(1)
First-principles (GGA-PBE) data for a geometry-optimized Mg2MnZn structure, as listed in Alexandria via LeMat-Bulk.

Raw total energy = -13.1 eV per cell
Crystal system = monoclinic

Cell lengths 4.471, 2.971, 5.522 Å; angles 77.67, 90.00, 90.00 degrees
Last column: magnetic moment on the atom in μB.
Atoms (fractional coordinates):
Zn 0.500 0.610 0.751  -0.04
Mg 0.500 0.263 0.289  -0.02
Mg 0.000 0.984 0.963  -0.02
Mn 0.000 0.643 0.497  3.42

=====

(2)
First-principles (GGA-PBE) data for a geometry-optimized MgMn2Zn structure, as listed in Alexandria via LeMat-Bulk.

Raw total energy = -21.0 eV per cell
Crystal system = orthorhombic

Cell lengths 2.859, 2.859, 6.752 Å; angles 90.00, 90.00, 90.90 degrees
Last column: magnetic moment on the atom in μB.
Atoms (fractional coordinates):
Mg 0.500 0.500 0.766  0.01
Mn 0.500 0.500 0.225  1.65
Mn 0.000 0.000 0.042  -1.53
Zn 0.000 0.000 0.466  -0.04